# 1
A plane-wave DFT calculation with PBE was carried out for a relaxed structure of Ho4MgTlZn2.

Summary:
Spin magnetization ... 0.00 μB/cell
Symmetry ... R-3m, No. 166
Formation enthalpy at 0 K ... -0.260 eV per atom

abc: 9.0909 9.0909 9.0909
angles: 32.95 32.95 32.95
Sites, in units of the cell vectors:
Ho 0.1235 0.1235 0.1235
Ho 0.3753 0.3753 0.3753
Ho 0.6247 0.6247 0.6247
Ho 0.8765 0.8765 0.8765
Mg 0.0000 0.0000 0.0000
Tl 0.5000 0.5000 0.5000
Zn 0.2591 0.2591 0.2591
Zn 0.7409 0.7409 0.7409

=====

# 2
A plane-wave DFT calculation with PBE was carried out for a relaxed structure of Cd4SCl5.

Summary:
Formation energy without anion corrections ... -0.831 eV/atom
Spin magnetization ... 0.00 μB/cell
Symmetry ... Pmmn, No. 59

abc: 8.0975 11.3323 6.5083
angles: 90.00 90.00 90.00
Sites, in units of the cell vectors:
Cd 0.0077 0.2500 0.0091
Cd 0.2500 0.0541 0.5547
Cd 0.2500 0.4459 0.5547
Cd 0.4923 0.2500 0.0091
Cd 0.5077 0.7500 0.9909
Cd 0.7500 0.5541 0.4453
Cd 0.7500 0.9459 0.4453
Cd 0.9923 0.7500 0.9909
S 0.2500 0.2500 0.7632
S 0.7500 0.7500 0.2368
Cl 0.0018 0.0771 0.2708
Cl 0.0018 0.4229 0.2708
Cl 0.2500 0.7500 0.2127
Cl 0.4982 0.0771 0.2708
Cl 0.4982 0.4229 0.2708
Cl 0.5018 0.5771 0.7292
Cl 0.5018 0.9229 0.7292
Cl 0.7500 0.2500 0.7873
Cl 0.9982 0.5771 0.7292
Cl 0.9982 0.9229 0.7292

=====

# 3
A plane-wave DFT calculation with PBE was carried out for a relaxed structure of LaHfPaN3.

Summary:
Formation energy without anion corrections ... -1.305 eV/atom
Spin magnetization ... 0.00 μB/cell
Symmetry ... P2_1/m, No. 11

abc: 7.1598 3.4522 8.4548
angles: 90.00 94.74 90.00
Sites, in units of the cell vectors:
La 0.1061 0.2500 0.3450
La 0.8939 0.7500 0.6550
Hf 0.1706 0.2500 0.9523
Hf 0.8294 0.7500 0.0477
Pa 0.4058 0.7500 0.6616
Pa 0.5942 0.2500 0.3384
N 0.1220 0.7500 0.0952
N 0.1937 0.2500 0.6858
N 0.3907 0.7500 0.3984
N 0.6093 0.2500 0.6016
N 0.8063 0.7500 0.3142
N 0.8780 0.2500 0.9048

=====

# 4
A plane-wave DFT calculation with PBE was carried out for a relaxed structure of Tb4NdEr2.

Summary:
Energy relative to the lowest polymorph listed for this composition ... 0.000 eV per atom
Spin magnetization ... 0.00 μB/cell
Symmetry ... C2/m, No. 12
Formation enthalpy at 0 K ... 0.033 eV per atom

abc: 16.6987 3.5319 8.7518
angles: 90.00 119.21 90.00
Sites, in units of the cell vectors:
Tb 0.1400 0.0000 0.3313
Tb 0.2051 0.0000 0.7942
Tb 0.2949 0.5000 0.2058
Tb 0.3600 0.5000 0.6687
Tb 0.6400 0.5000 0.3313
Tb 0.7051 0.5000 0.7942
Tb 0.7949 0.0000 0.2058
Tb 0.8600 0.0000 0.6687
Nd 0.0000 0.5000 0.5000
Nd 0.5000 0.0000 0.5000
Er 0.0708 0.5000 0.9307
Er 0.4292 0.0000 0.0693
Er 0.5708 0.0000 0.9307
Er 0.9292 0.5000 0.0693